TaBe2Os: relaxed, PBEsol.

Calculated values
ΔH_f (0 K), eV/atom: -0.1023
DFT total energy, eV per atom: -8.294
D(E_F), states/eV per atom: 0.321
E above lowest polymorph, eV per atom: 0.175
Magnetic moment, μB per formula unit: 0.00

Lattice parameters (Å, degrees): 4.0643 4.0643 4.0643 120.88 120.88 88.48
Atoms (fractional coordinates):
Ta  0.0000  0.0000  0.0000
Be  0.2500  0.7500  0.5000
Be  0.7500  0.2500  0.5000
Os  0.5000  0.5000  0.0000